## K2Ho2TiS6 (PBE)

Data for a relaxed K2Ho2TiS6 crystal.

The energy is -62.663 eV/cell. Its crystal system is monoclinic. As for the formation energy (no corrections): -1696 meV per atom.

Cell and atoms, written as POSCAR:
```
K2Ho2TiS6
1.0
6.640 0.012 0.049
-3.272 5.778 0.049
-1.213 -2.084 7.479
K Ho Ti S
2 2 1 6
Cartesian
4.944 0.999 0.049
-1.575 4.791 0.049
-0.576 2.815 3.788
2.732 0.891 3.788
-0.606 -1.042 3.739
1.728 2.970 5.228
-1.620 0.720 5.192
0.428 0.735 2.349
1.426 -1.052 5.192
3.775 2.986 2.385
0.730 4.758 2.385
```

***

## LiAcZnPb (PBE)

Data for a relaxed LiAcZnPb crystal.

The energy is -12.203 eV/cell. Its crystal system is cubic. The calculation puts the energy relative to the elements at -299 meV/atom.

Cell and atoms, written as POSCAR:
```
LiAcZnPb
1.0
5.416 0.000 0.000
2.708 4.690 0.000
2.708 1.563 4.422
Pb Ac Zn Li
1 1 1 1
Cartesian
5.416 3.127 2.211
8.123 4.690 3.316
0.000 0.000 0.000
2.708 1.563 1.105
```

***

## PaNiPt2 (PBE)

Data for a relaxed PaNiPt2 crystal.

The energy is -61.223 eV/cell. Its crystal system is monoclinic. The calculation puts the energy relative to the elements at -813 meV/atom.

Cell and atoms, written as POSCAR:
```
PaNiPt2
1.0
-1.805 2.976 -1.755
-1.776 -0.809 4.806
5.103 4.671 2.672
Pa Ni Pt
2 2 4
Cartesian
-1.998 3.254 3.273
3.520 3.584 2.450
1.548 5.339 3.150
-0.025 1.499 2.574
0.910 3.104 4.344
0.613 3.734 1.380
2.859 4.888 5.364
-1.337 1.950 0.359
```

***

## TmPaFe10 (PBE)

Data for a relaxed TmPaFe10 crystal.

The energy is -99.411 eV/cell. Its crystal system is orthorhombic. The calculation puts the energy relative to the elements at -68 meV/atom.

Cell and atoms, written as POSCAR:
```
TmPaFe10
1.0
-0.231 -0.006 -3.990
3.139 -3.825 -0.176
-6.584 -5.421 0.389
Tm Pa Fe
1 1 10
Cartesian
0.000 0.000 0.000
-1.722 -4.623 0.107
-2.209 -1.818 0.131
-3.903 -6.418 0.235
0.458 -2.828 -0.022
-4.375 -3.603 0.259
-3.407 -2.713 -1.801
1.454 -1.915 -2.083
-0.970 -2.302 -1.942
-2.705 -6.950 -1.835
0.606 -4.223 -2.031
-4.282 -5.029 -1.747
```

***

## SrMnGe3 (PBE)

Data for a relaxed SrMnGe3 crystal.

The energy is -25.086 eV/cell. Its crystal system is cubic. The calculation puts the energy relative to the elements at -77 meV/atom.

Cell and atoms, written as POSCAR:
```
SrMnGe3
1.0
-1.208 3.900 2.493
-0.533 -2.677 3.929
4.598 0.714 1.110
Sr Ge Mn
1 3 1
Cartesian
1.429 0.968 3.766
-0.267 -1.338 1.964
2.299 0.357 0.555
-0.604 1.950 1.247
0.000 0.000 0.000
```

***

## AgP2Br (PBE)

Data for a relaxed AgP2Br crystal.

The energy is -14.715 eV/cell. Its crystal system is monoclinic. As for the formation energy (no corrections): 157 meV per atom. The energy above the most stable polymorph in this dataset comes out at 135 meV/atom.

Cell and atoms, written as POSCAR:
```
AgP2Br
1.0
5.082 0.000 0.000
0.000 3.380 0.007
0.000 0.775 5.096
Ag Br P
1 1 2
Cartesian
2.541 1.039 1.276
2.541 3.116 3.828
0.000 0.214 0.549
0.000 1.864 2.002
```